# Rb2Ni2PtS4, optimized geometry, DFT GGA-PBE
data_Rb2Ni2PtS4
_chemical_formula_sum 'Rb2 Ni2 Pt1 S4'
_space_group_name_H-M_alt 'P 1'
_space_group_IT_number 1
_cell_length_a 8.6498
_cell_length_b 7.4902
_cell_length_c 6.0232
_cell_angle_alpha 78.78
_cell_angle_beta 58.14
_cell_angle_gamma 43.08
loop_
_space_group_symop_operation_xyz
'x,y,z'
loop_
_atom_site_label
_atom_site_type_symbol
_atom_site_fract_x
_atom_site_fract_y
_atom_site_fract_z
_atom_site_occupancy
Ni1 Ni 0.5000 0.5000 0.0000 1
Ni2 Ni 0.0000 0.0000 0.5000 1
Pt1 Pt 0.5000 0.5000 0.5000 1
Rb1 Rb 0.8436 0.8436 0.1564 1
Rb2 Rb 0.1564 0.1564 0.8436 1
S1 S 0.4308 0.7818 0.2182 1
S2 S 0.2182 0.5692 0.4308 1
S3 S 0.7818 0.4308 0.5692 1
S4 S 0.5692 0.2182 0.7818 1
# Space-group type   Fmmm (69)
# Crystal system   orthorhombic
# E_tot   -4.68 eV/atom